Entry from Alexandria via LeMat-Bulk: a relaxed structure of LiLa3Ir2 (PBE-GGA).

POSCAR file:
```
LiLa3Ir2
1.0
-6.113 0.717 -0.033
-0.118 -1.299 -6.380
2.255 -6.976 4.702
Ir La Li
4 6 2
direct
0.602 0.869 0.738 Ir
0.136 0.369 0.738 Ir
0.864 0.631 0.262 Ir
0.398 0.131 0.262 Ir
0.500 0.250 0.000 La
0.500 0.750 0.000 La
0.030 0.819 0.638 La
0.970 0.181 0.362 La
0.392 0.681 0.362 La
0.608 0.319 0.638 La
0.000 0.250 0.000 Li
0.000 0.750 0.000 Li
```

Raw total energy: -6.22 eV per atom
Total magnetization: 0.00 μB/f.u.
SG: No. 72
Calculated formation energy: -0.483 eV per atom



Entry from Alexandria via LeMat-Bulk: a relaxed structure of LiLa2Ir2 (PBE-GGA).

POSCAR file:
```
LiLa2Ir2
1.0
-4.091 -0.771 1.050
-0.508 -4.219 3.699
-1.189 1.550 5.286
Ir La Li
2 2 1
direct
0.000 0.242 0.258 Ir
0.000 0.758 0.742 Ir
0.300 0.200 0.700 La
0.700 0.800 0.300 La
0.500 0.500 0.000 Li
```

Raw total energy: -6.49 eV per atom
Total magnetization: 0.00 μB/f.u.
Energy above the lowest structure with this stoichiometry: 0 meV/atom
SG: No. 71
Calculated formation energy: -0.588 eV per atom



Entry from Alexandria via LeMat-Bulk: a relaxed structure of LiLa2Ir (PBE-GGA).

POSCAR file:
```
LiLa2Ir
1.0
4.206 0.050 -0.124
2.063 3.666 -0.124
2.310 1.369 8.615
La Li Ir
2 1 1
direct
0.525 0.525 0.426 La
0.975 0.975 0.074 La
0.750 0.750 0.750 Li
0.250 0.250 0.250 Ir
```

Raw total energy: -5.54 eV per atom
Total magnetization: 0.00 μB/f.u.
SG: No. 12
Calculated formation energy: -0.386 eV per atom



Entry from Alexandria via LeMat-Bulk: a relaxed structure of Li2LaIr2 (PBE-GGA).

POSCAR file:
```
Li2LaIr2
1.0
-3.873 0.651 -1.333
-1.476 -1.325 3.642
-2.483 4.770 3.091
Ir Li La
2 2 1
direct
0.388 0.388 0.224 Ir
0.612 0.612 0.776 Ir
0.250 0.750 0.500 Li
0.750 0.250 0.500 Li
0.000 0.000 0.000 La
```

Raw total energy: -5.46 eV per atom
Total magnetization: 0.00 μB/f.u.
Energy above the lowest structure with this stoichiometry: 0 meV/atom
SG: No. 139
Calculated formation energy: -0.161 eV per atom



Entry from Alexandria via LeMat-Bulk: a relaxed structure of Li2La2Ir (PBE-GGA).

POSCAR file:
```
Li2La2Ir
1.0
-3.577 -0.828 -0.038
0.638 -2.856 2.217
-2.855 3.796 8.753
Li Ir La
2 1 2
direct
0.250 0.750 0.500 Li
0.750 0.250 0.500 Li
0.000 0.000 0.000 Ir
0.586 0.586 0.828 La
0.414 0.414 0.172 La
```

Raw total energy: -4.72 eV per atom
Total magnetization: 0.00 μB/f.u.
Energy above the lowest structure with this stoichiometry: 0 meV/atom
SG: No. 139
Calculated formation energy: -0.208 eV per atom



Entry from Alexandria via LeMat-Bulk: a relaxed structure of LiLaIr2 (PBE-GGA).

POSCAR file:
```
LiLaIr2
1.0
4.963 0.008 0.000
-1.546 4.716 0.000
0.000 0.000 3.157
La Ir Li
1 2 1
direct
0.500 0.000 0.500 La
0.500 0.500 0.000 Ir
0.000 0.000 0.000 Ir
0.000 0.500 0.500 Li
```

Raw total energy: -6.21 eV per atom
Total magnetization: 0.00 μB/f.u.
SG: No. 65
Calculated formation energy: -0.073 eV per atom



Entry from Alexandria via LeMat-Bulk: a relaxed structure of Li2LaIr2 (PBE-GGA).

POSCAR file:
```
Li2LaIr2
1.0
-3.971 0.565 -6.391
5.209 -4.105 -3.599
-1.446 -2.434 0.683
Li Ir La
4 4 2
direct
0.391 0.891 0.000 Li
0.891 0.609 0.000 Li
0.609 0.109 0.000 Li
0.109 0.391 0.000 Li
0.314 0.186 0.500 Ir
0.686 0.814 0.500 Ir
0.814 0.314 0.500 Ir
0.186 0.686 0.500 Ir
0.500 0.500 0.000 La
0.000 0.000 0.000 La
```

Raw total energy: -5.43 eV per atom
Total magnetization: 0.00 μB/f.u.
Energy above the lowest structure with this stoichiometry: 31 meV/atom
SG: No. 127
Calculated formation energy: -0.130 eV per atom



Entry from Alexandria via LeMat-Bulk: a relaxed structure of LiLa4Ir (PBE-GGA).

POSCAR file:
```
LiLa4Ir
1.0
-3.844 5.109 2.629
-4.540 -3.396 -5.927
1.175 -5.763 6.772
La Ir Li
8 2 2
direct
0.304 0.934 0.576 La
0.042 0.831 0.105 La
0.958 0.169 0.895 La
0.564 0.274 0.105 La
0.696 0.066 0.424 La
0.772 0.642 0.576 La
0.436 0.726 0.895 La
0.228 0.358 0.424 La
0.827 0.077 0.155 Ir
0.173 0.923 0.845 Ir
0.638 0.388 0.776 Li
0.362 0.612 0.224 Li
```

Raw total energy: -5.25 eV per atom
Total magnetization: 0.00 μB/f.u.
Energy above the lowest structure with this stoichiometry: 0 meV/atom
SG: No. 15
Calculated formation energy: -0.171 eV per atom



Entry from Alexandria via LeMat-Bulk: a relaxed structure of LiLaIr2 (PBE-GGA).

POSCAR file:
```
LiLaIr2
1.0
3.444 -0.004 0.000
0.004 3.444 0.000
0.000 0.000 6.182
Li Ir La
1 2 1
direct
0.500 0.500 0.750 Li
0.000 0.000 0.964 Ir
0.000 0.000 0.536 Ir
0.500 0.500 0.250 La
```

Raw total energy: -6.24 eV per atom
Total magnetization: 0.00 μB/f.u.
SG: No. 123
Calculated formation energy: -0.104 eV per atom



Entry from Alexandria via LeMat-Bulk: a relaxed structure of LiLaIr2 (PBE-GGA).

POSCAR file:
```
LiLaIr2
1.0
-3.085 -1.429 -1.057
1.615 -1.368 -2.863
1.309 -5.216 3.230
Ir La Li
2 1 1
direct
0.500 0.500 0.191 Ir
0.000 0.000 0.036 Ir
0.000 0.000 0.467 La
0.500 0.500 0.807 Li
```

Raw total energy: -6.10 eV per atom
Total magnetization: 0.00 μB/f.u.
SG: No. 99
Calculated formation energy: 0.041 eV per atom



Entry from Alexandria via LeMat-Bulk: a relaxed structure of LiLaIr2 (PBE-GGA).

POSCAR file:
```
LiLaIr2
1.0
5.059 0.026 0.016
3.303 3.831 0.016
1.709 0.788 3.745
La Ir Li
1 2 1
direct
0.250 0.250 0.250 La
0.000 0.000 0.999 Ir
0.500 0.500 0.501 Ir
0.750 0.750 0.750 Li
```

Raw total energy: -6.37 eV per atom
Total magnetization: 0.00 μB/f.u.
SG: No. 12
Calculated formation energy: -0.228 eV per atom



Entry from Alexandria via LeMat-Bulk: a relaxed structure of LiLa2MgIr (PBE-GGA).

POSCAR file:
```
LiLa2MgIr
1.0
-1.568 -1.828 5.006
-4.422 -2.466 -2.286
2.808 -4.370 -0.716
Li La Ir Mg
1 2 1 1
direct
0.500 0.500 0.500 Li
0.000 0.500 0.000 La
0.500 0.000 0.000 La
0.000 0.000 0.000 Ir
0.000 0.000 0.500 Mg
```

Raw total energy: -4.74 eV per atom
Total magnetization: 0.00 μB/f.u.
Energy above the lowest structure with this stoichiometry: 0 meV/atom
SG: No. 123
Calculated formation energy: -0.295 eV per atom